VASP calculation (PBE-GGA) on a relaxed structure of TcP2SeCl.

Computed properties:
total magnetic moment = 0.00 μB/f.u.
E = -4.86 eV/atom
E above lowest polymorph = 0 meV per atom

Unit cell a=4.6448 b=4.6448 c=4.6889 alpha=90.00 beta=90.00 gamma=90.00
Last column: nearest neighbours and their distance in Å.
Sites, in units of the cell vectors:
P 0.0000 0.5000 0.0000  2 Tc 2.32
P 0.5000 0.0000 0.0000  2 Tc 2.32
Tc 0.0000 0.0000 0.0000  4 P 2.32, 2 Cl 2.34
Se 0.5000 0.5000 0.5000  4 Cl 3.28, 8 P 3.30
Cl 0.0000 0.0000 0.5000  2 Tc 2.34


VASP calculation (PBE-GGA) on a relaxed structure of TePSeCl2.

Computed properties:
total magnetic moment = 0.28 μB/f.u.
E = -2.65 eV/atom
E above lowest polymorph = 0 meV per atom

Unit cell a=4.7289 b=4.7289 c=5.6808 alpha=90.00 beta=90.00 gamma=90.00
Last column: nearest neighbours and their distance in Å.
Sites, in units of the cell vectors:
P 0.0000 0.0000 0.5000  2 Se 2.84
Te 0.5000 0.5000 0.5000  4 P 3.34, 8 Cl 3.70
Se 0.0000 0.0000 0.0000  4 Cl 2.36
Cl 0.0000 0.5000 0.0000  2 Se 2.36
Cl 0.5000 0.0000 0.0000  2 Se 2.36


VASP calculation (PBE-GGA) on a relaxed structure of TeP2SeCl.

Computed properties:
total magnetic moment = 0.00 μB/f.u.
E = -3.10 eV/atom
E above lowest polymorph = 0 meV per atom

Unit cell a=4.9811 b=4.9811 c=4.6941 alpha=90.00 beta=90.00 gamma=90.00
Last column: nearest neighbours and their distance in Å.
Sites, in units of the cell vectors:
P 0.0000 0.5000 0.0000  2 Se 2.49
P 0.5000 0.0000 0.0000  2 Se 2.49
Te 0.5000 0.5000 0.5000  8 P 3.42, 4 Cl 3.52
Se 0.0000 0.0000 0.0000  2 Cl 2.35, 4 P 2.49
Cl 0.0000 0.0000 0.5000  2 Se 2.35


VASP calculation (PBE-GGA) on a relaxed structure of TeP2SeCl.

Computed properties:
total magnetic moment = 0.15 μB/f.u.
E = -2.83 eV/atom
E above lowest polymorph = 267 meV per atom

Unit cell a=5.2023 b=5.2023 c=4.9832 alpha=90.00 beta=90.00 gamma=90.00
Last column: nearest neighbours and their distance in Å.
Sites, in units of the cell vectors:
P 0.0000 0.5000 0.0000  2 Te 2.60
P 0.5000 0.0000 0.0000  2 Te 2.60
Te 0.0000 0.0000 0.0000  2 Cl 2.49, 4 P 2.60
Se 0.5000 0.5000 0.5000  8 P 3.60, 4 Cl 3.68
Cl 0.0000 0.0000 0.5000  2 Te 2.49


VASP calculation (PBE-GGA) on a relaxed structure of TePSeCl2.

Computed properties:
total magnetic moment = 0.62 μB/f.u.
E = -2.56 eV/atom
E above lowest polymorph = 98 meV per atom

Unit cell a=5.0634 b=5.0634 c=5.6253 alpha=90.00 beta=90.00 gamma=90.00
Last column: nearest neighbours and their distance in Å.
Sites, in units of the cell vectors:
P 0.0000 0.0000 0.5000  2 Te 2.81
Te 0.0000 0.0000 0.0000  4 Cl 2.53, 2 P 2.81
Se 0.5000 0.5000 0.5000  4 P 3.58, 8 Cl 3.78
Cl 0.0000 0.5000 0.0000  2 Te 2.53
Cl 0.5000 0.0000 0.0000  2 Te 2.53


VASP calculation (PBE-GGA) on a relaxed structure of TiPSeCl2.

Computed properties:
total magnetic moment = 1.92 μB/f.u.
E = -3.50 eV/atom
E above lowest polymorph = 866 meV per atom

Unit cell a=4.8202 b=4.8202 c=5.1913 alpha=90.00 beta=90.00 gamma=90.00
Last column: nearest neighbours and their distance in Å.
Sites, in units of the cell vectors:
P 0.0000 0.0000 0.5000  2 Se 2.60
Cl 0.0000 0.5000 0.0000  2 Se 2.41
Cl 0.5000 0.0000 0.0000  2 Se 2.41
Se 0.0000 0.0000 0.0000  4 Cl 2.41, 2 P 2.60
Ti 0.5000 0.5000 0.5000  4 P 3.41, 8 Cl 3.54


VASP calculation (PBE-GGA) on a relaxed structure of TiPSeCl2.

Computed properties:
total magnetic moment = 0.00 μB/f.u.
E = -4.37 eV/atom
E above lowest polymorph = 0 meV per atom

Unit cell a=4.5394 b=4.5394 c=5.3341 alpha=90.00 beta=90.00 gamma=90.00
Last column: nearest neighbours and their distance in Å.
Sites, in units of the cell vectors:
P 0.0000 0.0000 0.5000  2 Ti 2.67
Cl 0.0000 0.5000 0.0000  2 Ti 2.27
Cl 0.5000 0.0000 0.0000  2 Ti 2.27
Se 0.5000 0.5000 0.5000  4 P 3.21, 8 Cl 3.50
Ti 0.0000 0.0000 0.0000  4 Cl 2.27


VASP calculation (PBE-GGA) on a relaxed structure of Tl5PSe4Cl2.

Computed properties:
total magnetic moment = 0.00 μB/f.u.
E = -3.45 eV/atom

Unit cell a=8.1452 b=6.4292 c=9.8881 alpha=90.00 beta=90.00 gamma=129.31
Last column: nearest neighbours and their distance in Å.
Sites, in units of the cell vectors:
Tl 0.1208 0.3780 0.2451  3 Se 3.22-3.38, 2 Cl 3.30
Tl 0.4223 0.0000 0.5000  4 Cl 3.11-3.32, 2 Se 3.25
Tl 0.1208 0.3780 0.7549  3 Se 3.22-3.38, 2 Cl 3.30
Tl 0.7428 0.6220 0.7549  3 Se 3.22-3.38, 2 Cl 3.30
Tl 0.7428 0.6220 0.2451  3 Se 3.22-3.38, 2 Cl 3.30
P 0.3752 0.0000 0.0000  4 Se 2.23-2.24
Se 0.5355 0.0000 0.1844  1 P 2.24
Se 0.5355 0.0000 0.8156  1 P 2.24
Se 0.4064 0.3702 0.0000  1 P 2.23
Se 0.0362 0.6298 0.0000  1 P 2.23
Cl 0.9392 0.5109 0.5000  6 Tl 3.11-3.32
Cl 0.4283 0.4891 0.5000  6 Tl 3.11-3.32


VASP calculation (PBE-GGA) on a relaxed structure of TlPSeCl2.

Computed properties:
total magnetic moment = 0.00 μB/f.u.
E = -2.95 eV/atom
E above lowest polymorph = 0 meV per atom

Unit cell a=5.4298 b=5.4298 c=4.7721 alpha=90.00 beta=90.00 gamma=90.00
Last column: nearest neighbours and their distance in Å.
Sites, in units of the cell vectors:
P 0.0000 0.0000 0.5000  2 Se 2.39
Tl 0.5000 0.5000 0.5000  8 Cl 3.61, 4 P 3.84
Se 0.0000 0.0000 0.0000  2 P 2.39
Cl 0.0000 0.5000 0.0000  2 Se 2.71
Cl 0.5000 0.0000 0.0000  2 Se 2.71


VASP calculation (PBE-GGA) on a relaxed structure of TlP2SeCl.

Computed properties:
total magnetic moment = 0.85 μB/f.u.
E = -2.61 eV/atom
E above lowest polymorph = 621 meV per atom

Unit cell a=5.2492 b=5.2492 c=5.0988 alpha=90.00 beta=90.00 gamma=90.00
Last column: nearest neighbours and their distance in Å.
Sites, in units of the cell vectors:
P 0.0000 0.5000 0.0000  2 Tl 2.62
P 0.5000 0.0000 0.0000  2 Tl 2.62
Tl 0.0000 0.0000 0.0000  2 Cl 2.55, 4 P 2.62
Se 0.5000 0.5000 0.5000  8 P 3.66, 4 Cl 3.71
Cl 0.0000 0.0000 0.5000  2 Tl 2.55


VASP calculation (PBE-GGA) on a relaxed structure of TlP2SeCl.

Computed properties:
total magnetic moment = 0.00 μB/f.u.
E = -3.23 eV/atom
E above lowest polymorph = 0 meV per atom

Unit cell a=4.7182 b=4.7182 c=7.1868 alpha=90.00 beta=90.00 gamma=90.00
Last column: nearest neighbours and their distance in Å.
Sites, in units of the cell vectors:
P 0.0000 0.5000 0.0000  2 Se 2.36
P 0.5000 0.0000 0.0000  2 Se 2.36
Tl 0.5000 0.5000 0.5000  4 Cl 3.34
Se 0.0000 0.0000 0.0000  4 P 2.36
Cl 0.0000 0.0000 0.5000  4 Tl 3.34, 2 Se 3.59


VASP calculation (PBE-GGA) on a relaxed structure of TlPSeCl2.

Computed properties:
total magnetic moment = 1.47 μB/f.u.
E = -2.43 eV/atom
E above lowest polymorph = 512 meV per atom

Unit cell a=5.1335 b=5.1335 c=5.6096 alpha=90.00 beta=90.00 gamma=90.00
Last column: nearest neighbours and their distance in Å.
Sites, in units of the cell vectors:
P 0.0000 0.0000 0.5000  2 Tl 2.80
Tl 0.0000 0.0000 0.0000  4 Cl 2.57, 2 P 2.80
Se 0.5000 0.5000 0.5000  4 P 3.63, 8 Cl 3.80
Cl 0.0000 0.5000 0.0000  2 Tl 2.57
Cl 0.5000 0.0000 0.0000  2 Tl 2.57